# 1
Below is crystalline NdTmTh2Sb4 at its relaxed geometry, with properties calculated at the GGA-PBE level.

The final energy is -6.087 eV/atom. The formation energy without anion corrections is -1.016 eV/atom. Its space group is P2/m (10).

Cell: 4.480 7.712 7.760 Å, 70.35 90.00 90.00°
Sites, in units of the cell vectors:
Th1 0.500 0.000 0.500
Sb1 0.500 0.258 0.742
Sb2 0.000 0.254 0.254
Sb3 0.000 0.746 0.746
Tm1 0.000 0.500 0.500
Sb4 0.500 0.742 0.258
Nd1 0.500 0.500 0.000
Th2 0.000 0.000 0.000

=====

# 2
Below is crystalline Nd3Ag2Pt at its relaxed geometry, with properties calculated at the GGA-PBE level.

The final energy is -4.877 eV/atom. The calculation puts the formation energy at -0.54 eV/atom. Its space group is P-3m1 (164). The value obtained for the distance to the lowest polymorph of the same formula is 0.000 eV per atom.

Cell: 5.224 5.224 6.419 Å, 90.00 90.00 120.00°
Sites, in units of the cell vectors:
Nd1 0.333 0.667 0.144
Nd2 0.000 0.000 0.500
Ag1 0.667 0.333 0.365
Pt1 0.000 0.000 0.000
Ag2 0.333 0.667 0.635
Nd3 0.667 0.333 0.856

=====

# 3
Below is crystalline Sm6Tc2Sn at its relaxed geometry, with properties calculated at the GGA-PBE level.

The final energy is -6.098 eV/atom. The calculation puts the formation energy at -0.20 eV/atom. Its space group is Immm (71).

Cell: 8.687 8.687 8.687 Å, 104.43 111.71 112.39°
Sites, in units of the cell vectors:
Sm1 0.688 0.020 0.332
Sm2 0.206 0.757 0.964
Tc1 0.500 0.612 0.112
Sm3 0.794 0.757 0.551
Sm4 0.533 0.720 0.813
Sm5 0.907 0.720 0.187
Tc2 0.500 0.388 0.888
Tc3 0.675 0.000 0.675
Sm6 0.467 0.280 0.187
Sn1 0.000 0.000 0.000
Tc4 0.325 0.000 0.325
Sm7 0.093 0.280 0.813
Sm8 0.312 0.980 0.668
Sm9 0.688 0.356 0.668
Sm10 0.206 0.243 0.449
Sm11 0.794 0.243 0.036
Sn2 0.000 0.500 0.500
Sm12 0.312 0.644 0.332